(1)
DFT (GGA-PBE) results for a relaxed GdHoTmSc crystal.

extended XYZ file:
```
4
Lattice="5.5073 0.0000 0.0000 2.7537 4.7695 0.0000 2.7537 1.5898 4.4967" Properties=species:S:1:pos:R:3 pbc="T T T"
Ho 2.7537 1.5898 1.1242
Tm 5.5073 3.1797 2.2484
Gd 8.2610 4.7695 3.3725
Sc 0.0000 0.0000 0.0000
```

Values from the calculation:
The calculation puts the total moment at 7.392 μB/f.u. The total energy comes out at -29.0 eV/cell. As for the space-group type: F-43m. The calculation puts the energy of formation at 41 kJ/mol of formula units.

(2)
DFT (GGA-PBE) results for a relaxed GdYHoSc crystal.

extended XYZ file:
```
4
Lattice="5.5457 0.0000 0.0000 2.7728 4.8027 0.0000 2.7728 1.6009 4.5280" Properties=species:S:1:pos:R:3 pbc="T T T"
Ho 0.0000 0.0000 0.0000
Gd 2.7728 1.6009 1.1320
Y 8.3185 4.8027 3.3960
Sc 5.5457 3.2018 2.2640
```

Values from the calculation:
The calculation puts the total moment at 7.769 μB/f.u. The total energy comes out at -31.0 eV/cell. As for the space-group type: F-43m. The calculation puts the energy of formation at 45 kJ/mol of formula units.